Density functional theory data (PBE) for a geometry-optimized Cd2TcB structure.

abc: 6.133 6.133 6.133
angles: 96.95 96.95 139.28
Positions (direct):
Cd1 0.016 0.125 0.391
Cd2 0.375 0.984 0.109
Cd3 0.734 0.625 0.609
Cd4 0.875 0.266 0.891
Tc1 0.250 0.750 0.500
Tc2 0.500 0.500 0.000
B1 0.000 0.000 0.000
B2 0.750 0.250 0.500

Output
E_form	806	meV/atom
space-group type	I-42d (122)
total magnetization	1.4	μB/cell

Density functional theory data (PBE) for a geometry-optimized Ca4V2Ni structure.

abc: 8.883 8.883 8.883
angles: 145.83 145.83 49.09
Positions (direct):
Ca1 0.000 0.500 0.500
Ca2 0.178 0.178 0.000
Ca3 0.500 0.000 0.500
Ca4 0.822 0.822 0.000
V1 0.380 0.380 0.000
V2 0.620 0.620 0.000
Ni1 0.000 0.000 0.000

Output
E_form	736	meV/atom
space-group type	I4/mmm (139)
total magnetization	9.2	μB/cell

Density functional theory data (PBE) for a geometry-optimized Er3TmIn structure.

abc: 12.626 12.626 4.769
angles: 90.00 90.00 158.23
Positions (direct):
Er1 0.049 0.951 0.750
Er2 0.250 0.750 0.750
Er3 0.448 0.552 0.750
Er4 0.552 0.448 0.250
Er5 0.750 0.250 0.250
Er6 0.951 0.049 0.250
Tm1 0.150 0.850 0.250
Tm2 0.850 0.150 0.750
In1 0.348 0.652 0.250
In2 0.652 0.348 0.750

Output
E_form	-182	meV/atom
space-group type	Cmcm (63)
total magnetization	0.0	μB/cell

Density functional theory data (PBE) for a geometry-optimized VP2RuW structure.

abc: 4.385 4.385 4.380
angles: 90.00 90.00 90.00
Positions (direct):
V1 0.000 0.000 0.000
P1 0.000 0.500 0.000
P2 0.500 0.000 0.000
Ru1 0.000 0.000 0.500
W1 0.500 0.500 0.500

Output
E_form	1223	meV/atom
space-group type	P4/mmm (123)
total magnetization	0.0	μB/cell

Density functional theory data (PBE) for a geometry-optimized ZrPa2SnN6 structure.

abc: 5.362 5.362 5.294
angles: 90.00 90.00 90.00
Positions (direct):
Zr1 0.000 0.000 0.000
Pa1 0.000 0.500 0.410
Pa2 0.500 0.000 0.410
Sn1 0.500 0.500 0.990
N1 0.000 0.000 0.610
N2 0.250 0.250 0.181
N3 0.250 0.750 0.181
N4 0.500 0.500 0.606
N5 0.750 0.250 0.181
N6 0.750 0.750 0.181

Output
space-group type	P4mm (99)
E_form (uncorrected)	-0.87	eV/atom
total magnetization	0.0	μB/cell